The following is a PBE with a Hubbard U calculation of crystalline Na2CoO3 at its relaxed geometry, from Alexandria via LeMat-Bulk.

```
Na2CoO3
1.0
4.984 -2.971 0.000
4.984 2.971 0.000
-2.077 0.000 5.848
Na Co O
4 2 6
Cartesian
0.000 0.000 0.000
-1.039 0.000 2.924
1.916 0.000 4.546
5.975 0.000 1.303
2.829 0.000 1.532
5.061 0.000 4.316
3.773 1.326 1.107
1.278 0.000 2.203
4.118 1.326 4.742
3.773 -1.326 1.107
6.612 0.000 3.645
4.118 -1.326 4.742
```

Results
**Total magnetization**: 3.00 μB/f.u.
**Calculated total energy**: -0.17952 Ha/atom